This record from the Alexandria database describes a relaxed PmDyGa5Pt2 crystal. The functional is GGA-PBE.

a = 4.7772 Å, b = 4.7772 Å, c = 9.0416 Å
α = 90.00°, β = 90.00°, γ = 90.00°
Closest atoms and distances in Å follow each position.
Fractional coordinates of all 9 atoms:
Pm (0.0000, 0.0000, 0.0000)  12 Ga 3.38-3.58
Dy (0.0000, 0.0000, 0.5000)  8 Ga 3.02
Ga (0.0000, 0.5000, 0.2956)  2 Pt 2.41
Ga (0.0000, 0.5000, 0.7044)  2 Pt 2.41
Ga (0.5000, 0.0000, 0.2956)  2 Pt 2.41
Ga (0.5000, 0.0000, 0.7044)  2 Pt 2.41
Ga (0.5000, 0.5000, 0.0000)  2 Pt 2.33
Pt (0.5000, 0.5000, 0.2579)  5 Ga 2.33-2.41
Pt (0.5000, 0.5000, 0.7421)  5 Ga 2.33-2.41

Properties
Mass density ... 8.4 g/cm³
DFT total energy ... -4.437 eV per atom
Density of states at the Fermi level ... 0.51 states/eV/atom



This record from the Alexandria database describes a relaxed Ta4NbMo crystal. The functional is GGA-PBE.

a = 4.4707 Å, b = 4.4707 Å, c = 6.2726 Å
α = 90.00°, β = 90.00°, γ = 90.00°
Closest atoms and distances in Å follow each position.
Fractional coordinates of all 6 atoms:
Ta (0.0000, 0.5000, 0.2447)  2 Mo 2.71, 2 Nb 2.75
Ta (0.0000, 0.5000, 0.7553)  2 Mo 2.71, 2 Nb 2.75
Ta (0.5000, 0.0000, 0.2447)  2 Mo 2.71, 2 Nb 2.75
Ta (0.5000, 0.0000, 0.7553)  2 Mo 2.71, 2 Nb 2.75
Nb (0.0000, 0.0000, 0.5000)  8 Ta 2.75
Mo (0.5000, 0.5000, 0.0000)  8 Ta 2.71

Properties
Mass density ... 12.1 g/cm³
Energy relative to the lowest polymorph listed for this composition ... 18.96 kcal/mol of atoms
DFT total energy ... -10.641 eV per atom
Density of states at the Fermi level ... 1.02 states/eV/atom



- The highest mass density belongs to which entry?
  Ta4NbMo



- The highest mass density belongs to which entry?
  Ta4NbMo



- Which value of density of states at the Fermi level does entry 2 give?
  1.02 states/eV/atom